Tm3Ni20B6: optimized geometry, PBE-GGA.

Geometry as extended XYZ:
```
29
Lattice="6.5978 0.0000 3.8092 2.1993 6.2205 3.8092 0.0000 0.0000 7.6185" Properties=species:S:1:pos:R:3 pbc="T T T"
Ni 0.7585 2.1453 1.3138
Ni 5.0808 2.1453 3.8092
Ni 4.3223 0.0000 5.1230
Ni 5.3830 3.8063 5.9133
Ni 3.4141 2.4141 5.9133
Ni 0.7585 2.1453 6.3047
Ni 0.0000 0.0000 2.6275
Ni 4.3985 1.0219 7.6185
Ni 1.4408 4.0751 2.4955
Ni 2.4296 3.8063 7.6185
Ni 4.3223 0.0000 2.4955
Ni 4.3985 5.1986 7.6185
Ni 6.3674 2.4141 7.6185
Ni 2.2755 0.0000 6.3047
Ni 1.4408 4.0751 5.1230
Ni 5.3830 3.8063 9.3236
Ni 3.4141 2.4141 9.3236
Ni 3.7162 4.0751 3.8092
Ni 2.2755 0.0000 1.3138
Ni 0.0000 0.0000 4.9910
Tm 6.5978 4.6653 11.4277
Tm 2.1993 1.5551 3.8092
Tm 0.0000 0.0000 0.0000
B 6.4384 4.5527 7.6185
B 3.3786 4.5527 5.8519
B 2.3586 1.6678 7.6185
B 5.4185 1.6678 5.8519
B 3.3786 4.5527 9.3851
B 5.4185 1.6678 9.3851
```

Space group ... Fm-3m, No. 225
Crystal system ... cubic
Calculated total energy ... -180.61 eV per formula unit



K4SmPa3Se8: optimized geometry, PBE-GGA.

Geometry as extended XYZ:
```
16
Lattice="8.3789 0.0000 0.0000 0.0000 9.1963 0.5713 -4.1895 -4.1858 5.9275" Properties=species:S:1:pos:R:3 pbc="T T T"
Se 0.0000 0.4459 3.2756
Se 2.0710 2.4759 6.1731
Se -2.0710 2.4759 6.1731
Se 6.2604 2.5346 0.3257
Se 4.1895 4.5646 3.2232
Se 0.0000 4.5451 3.2429
Se 2.1185 2.5346 0.3257
Se 4.1895 0.4655 3.2559
Sm 0.0000 4.5982 0.2857
K 4.1895 0.0000 0.0000
K 2.0947 -2.0929 2.9637
K -2.0947 -2.0929 2.9637
K 0.0000 0.0000 0.0000
Pa 4.1895 4.5982 0.2857
Pa -2.0947 2.5053 3.2494
Pa 2.0947 2.5053 3.2494
```

Formation energy (no corrections) ... -1.42 eV per atom
Space group ... R-3m, No. 166
Crystal system ... trigonal



SrLiRe: optimized geometry, PBE-GGA.

Geometry as extended XYZ:
```
3
Lattice="5.8379 0.0380 -0.0338 3.5508 4.6340 0.0338 -4.1957 -3.3380 2.3102" Properties=species:S:1:pos:R:3 pbc="T T T"
Li 9.0431 4.5000 0.0000
Re 3.4164 1.7001 0.0000
Sr 6.3180 3.1439 0.0000
```

Space group ... Imm2, No. 44
Crystal system ... orthorhombic
Calculated total energy ... -13.35 eV per formula unit



Cs3TaSb: optimized geometry, PBE-GGA.

Geometry as extended XYZ:
```
5
Lattice="-0.7297 7.2920 -0.3527 -6.4695 -0.4816 3.4268 3.3827 0.6519 6.4778" Properties=species:S:1:pos:R:3 pbc="T T T"
Cs -0.3649 3.6460 -0.1764
Cs 1.6914 0.3259 3.2389
Cs -3.2348 -0.2408 1.7134
Sb 0.0000 0.0000 0.0000
Ta -1.9083 3.7311 4.7760
```

Formation energy (no corrections) ... 1.23 eV per atom
Space group ... Pm-3m, No. 221
Crystal system ... cubic



Tc12H6N: optimized geometry, PBE-GGA.

Geometry as extended XYZ:
```
19
Lattice="-4.6598 -1.8620 -3.1017 1.9760 -5.3872 1.3690 -2.9523 0.8331 5.0389" Properties=species:S:1:pos:R:3 pbc="T T T"
Tc -6.0237 -1.3376 0.6767
Tc -1.5089 -2.9462 5.2512
Tc -1.7476 -1.9088 2.7401
Tc -1.2012 -3.5351 0.5154
Tc -3.3327 -1.7070 0.4294
Tc -3.8885 -4.5073 0.5662
Tc -1.4936 -5.9917 -0.6328
Tc -4.4348 -2.8810 2.7908
Tc -4.1425 -0.4244 3.9391
Tc -4.1271 -3.4699 -1.9449
Tc -2.3034 -4.7091 2.8768
Tc 0.3876 -5.0785 2.6296
H -0.7191 -3.5321 2.5582
H -2.8977 -3.0070 3.9516
H -3.6341 -1.1318 2.2472
H -4.9170 -2.8840 0.7481
H -2.7384 -3.4091 -0.6453
H -2.0020 -5.2843 1.0591
N 0.0000 0.0000 0.0000
```

Space group ... R-3, No. 148
Crystal system ... trigonal
Calculated total energy ... -148.58 eV per formula unit



BaSr3Pd: optimized geometry, PBE-GGA.

Geometry as extended XYZ:
```
10
Lattice="-0.0937 7.6125 -0.5849 -7.0742 2.3262 -1.4998 -1.6142 0.6404 8.6043" Properties=species:S:1:pos:R:3 pbc="T T T"
Sr -2.1795 7.8612 1.9283
Sr -1.7524 3.9034 0.1936
Sr -5.4760 8.9224 -0.8754
Sr -2.5688 4.2794 4.3775
Sr -3.0359 8.2520 6.3283
Sr -5.8098 5.2671 1.4427
Ba -6.1873 9.2261 3.3733
Ba -6.5466 5.5811 5.8307
Pd -7.0867 3.7583 -0.9037
Pd -7.5537 7.7316 1.0397
```

Space group ... Pc, No. 7
Crystal system ... monoclinic
Calculated total energy ... -13.63 eV per formula unit



DyZnCd3: optimized geometry, PBE-GGA.

Geometry as extended XYZ:
```
10
Lattice="4.7627 0.0000 0.0001 0.0001 6.3677 -0.3433 -0.0001 -2.1642 7.4018" Properties=species:S:1:pos:R:3 pbc="T T T"
Cd 1.8145 0.1331 2.4418
Cd 1.8145 1.5580 4.9966
Cd 4.1959 2.4191 3.2930
Cd 4.1959 2.3713 6.4351
Cd 4.1959 0.9943 0.7381
Cd 1.8145 4.3844 6.3582
Dy 1.8146 3.1798 0.8117
Dy 4.1959 -0.6275 4.9231
Zn 4.1959 4.7827 1.7702
Zn 1.8146 4.1373 3.6213
```

Space group ... P2_1/m, No. 11
Crystal system ... monoclinic
Calculated total energy ... -9.67 eV per formula unit



Pr8Co3RhBr4: optimized geometry, PBE-GGA.

Geometry as extended XYZ:
```
16
Lattice="-2.1457 5.2406 5.8128 -8.8387 -1.2198 -2.1630 4.1811 -6.6885 1.9086" Properties=species:S:1:pos:R:3 pbc="T T T"
Co -5.4922 2.0104 1.8249
Co -2.3288 -3.9541 -0.1272
Co -3.4017 -1.3338 2.7792
Br 2.0905 -3.3442 0.9543
Br -1.0729 2.6203 2.9064
Br 0.0000 0.0000 0.0000
Br 1.0177 -0.7239 3.8607
Pr -2.6284 -6.0349 1.7059
Pr -5.7520 -0.1019 3.6334
Pr -4.6654 -2.7659 0.7714
Pr -3.6756 -3.4773 4.5428
Pr -2.1379 0.0982 4.7871
Pr -4.1749 3.3673 3.8525
Pr -3.1277 0.8096 1.0156
Pr -1.0514 -2.5658 1.9251
Rh -4.4193 -0.6099 -1.0815
```

Formation energy (no corrections) ... -0.83 eV per atom
Space group ... C2/m, No. 12
Crystal system ... monoclinic